Entry 1:
DFT (GGA-PBE) results for an optimized crystal structure of Ca2ScTlC.

Properties
* space group: P4/mmm (123)
* total energy: -22.75 eV for the cell shown

Cell lengths 5.1409, 5.1409, 4.4989 Å; angles 90.00, 90.00, 90.00 degrees
Fractional positions:
Ca: 0.0000 0.5000 0.0000
Ca: 0.5000 0.0000 0.0000
Sc: 0.0000 0.0000 0.5000
Tl: 0.5000 0.5000 0.5000
C: 0.0000 0.0000 0.0000



Entry 2:
DFT (GGA-PBE) results for an optimized crystal structure of Al3Ru2.

Properties
* space group: P-3m1 (164)
* total energy: -32.13 eV for the cell shown

Cell lengths 4.2127, 4.2127, 5.0814 Å; angles 90.00, 90.00, 120.00 degrees
Fractional positions:
Al: 0.0000 0.0000 0.0000
Al: 0.3333 0.6667 0.6482
Al: 0.6667 0.3333 0.3518
Ru: 0.3333 0.6667 0.1566
Ru: 0.6667 0.3333 0.8434



Entry 3:
DFT (GGA-PBE) results for an optimized crystal structure of La4CI2Cl.

Properties
* space group: P2/m (10)
* formation energy without anion corrections: -1.0139 eV/atom

Cell lengths 7.2961, 4.0745, 8.1406 Å; angles 90.00, 106.23, 90.00 degrees
Fractional positions:
La: 0.1990 0.0000 0.1799
La: 0.2335 0.5000 0.8138
La: 0.7665 0.5000 0.1862
La: 0.8010 0.0000 0.8201
C: 0.0000 0.5000 0.0000
I: 0.0000 0.0000 0.5000
I: 0.5000 0.5000 0.5000
Cl: 0.5000 0.0000 0.0000



Entry 4:
DFT (GGA-PBE) results for an optimized crystal structure of Si2AsSe.

Properties
* space group: R3m (160)
* polymorph energy (0 for the lowest one): 0 meV per atom
* formation energy without anion corrections: -0.0144 eV/atom

Cell lengths 8.1571, 8.1571, 8.1571 Å; angles 25.15, 25.15, 25.15 degrees
Fractional positions:
Si: 0.0000 0.0000 0.0000
Si: 0.2550 0.2550 0.2550
As: 0.5342 0.5342 0.5342
Se: 0.7252 0.7252 0.7252